Entry 1:
First-principles (PBE-GGA) data for Ac12IrPd6 after structural relaxation, as listed in the Alexandria database.

Lattice parameters (Å, degrees): 13.4565 13.4565 13.2125 90.00 90.00 120.00
Space group R-3 (No. 148, hexagonal axes)
One atom of each set of equivalent atoms:
Ac 0.0198 0.8175 0.3889 [18 per cell]
Ac 0.0294 0.8334 0.8781 [18 per cell]
Ir 0.0000 0.0000 0.0000 [3 per cell]
Pd 0.0372 0.7717 0.6474 [18 per cell]

The formation energy is -535 meV/atom. The calculation puts the calculated density at 8.55 g cm⁻³.

***

Entry 2:
First-principles (PBE-GGA) data for In3I after structural relaxation, as listed in the Alexandria database.

Lattice parameters (Å, degrees): 4.591 6.423 4.609 90.00 90.00 90.00
Space group Pmm2 (No. 25)
One atom of each set of equivalent atoms:
In 0.000 0.000 0.000 [1 per cell]
In 0.000 0.500 0.004 [1 per cell]
In 0.500 0.000 0.500 [1 per cell]
I 0.500 0.500 0.504 [1 per cell]

As for the raw formation energy: -0.06 eV/atom. The energy above the most stable polymorph in this dataset comes out at 0.0 kJ/mol of formula units. The calculation puts the calculated density at 5.76 g cm⁻³.

***

Please write out number 2 again, unchanged.
First-principles (PBE-GGA) data for In3I after structural relaxation, as listed in the Alexandria database.

Lattice parameters (Å, degrees): 4.591 6.423 4.609 90.00 90.00 90.00
Space group Pmm2 (No. 25)
One atom of each set of equivalent atoms:
In 0.000 0.000 0.000 [1 per cell]
In 0.000 0.500 0.004 [1 per cell]
In 0.500 0.000 0.500 [1 per cell]
I 0.500 0.500 0.504 [1 per cell]

As for the raw formation energy: -0.06 eV/atom. The energy above the most stable polymorph in this dataset comes out at 0.0 kJ/mol of formula units. The calculation puts the calculated density at 5.76 g cm⁻³.